BeNi2Te after structural relaxation. Source: Alexandria, functional PBE-GGA.

Calculated values
VASP energy ... -36.78 eV/cell
Raw formation energy ... 0.041 eV/f.u.

abc: 6.560 3.813 4.979
angles: 90.00 117.02 90.00
Space group C2/m (No. 12)
One atom of each set of equivalent atoms:
Be 0.000 0.000 0.000 [2 per cell]
Ni 0.214 0.500 0.139 [4 per cell]
Te 0.000 0.500 0.500 [2 per cell]